Material: Ti3NbCo2P6O24
Method: DFT, PBE with a Hubbard U
State: relaxed

The calculated density is 3.333 g/cm3. The calculation puts the total energy at -278.43 eV per cell. The space-group type is No. 146.

Cell: 8.579 8.579 8.579 Å, 61.39 61.39 61.39°
Element x y z (fractional)
Ti1 0.140 0.140 0.140
Ti2 0.360 0.360 0.360
Ti3 0.641 0.641 0.641
Nb1 0.861 0.861 0.861
Co1 0.006 0.006 0.006
Co2 0.495 0.495 0.495
P1 0.456 0.750 0.041
P2 0.750 0.041 0.456
P3 0.959 0.534 0.257
P4 0.257 0.959 0.534
P5 0.534 0.257 0.959
P6 0.041 0.456 0.750
O1 0.494 0.321 0.118
O2 0.118 0.494 0.321
O3 0.267 0.911 0.055
O4 0.321 0.118 0.494
O5 0.615 0.815 0.002
O6 0.443 0.590 0.232
O7 0.911 0.055 0.267
O8 0.590 0.232 0.443
O9 0.001 0.379 0.187
O10 0.232 0.443 0.590
O11 0.945 0.729 0.097
O12 0.187 0.001 0.379
O13 0.815 0.002 0.615
O14 0.055 0.267 0.911
O15 0.765 0.551 0.414
O16 0.002 0.615 0.815
O17 0.414 0.765 0.551
O18 0.097 0.945 0.729
O19 0.551 0.414 0.765
O20 0.379 0.187 0.001
O21 0.688 0.879 0.502
O22 0.729 0.097 0.945
O23 0.879 0.502 0.688
O24 0.502 0.688 0.879